Computed, not measured: crystalline Li2ScH4 at its relaxed geometry at the PBE level of DFT.

As for the total energy: -50.6 eV/cell.

It has space group I4/mmm (No. 139), with a = 3.803 Å, b = 3.803 Å, c = 10.905 Å, α = 90.00°, β = 90.00° and γ = 90.00°. The distinct sites, in fractional coordinates, are Li at (0.000, 0.000, 0.156), Sc at (0.000, 0.000, 0.500), H at (0.000, 0.000, 0.320) and H at (0.000, 0.500, 0.000).